PIr2Se (PBE, optimized geometry); volume = 16.2 Å³ per atom; electronic total energy = -6.425 eV per atom; ΔE_f (raw) = 229 meV/atom; total moment = 0.00 μB/atom
1.0
3.616 0.000 0.000
0.000 3.058 -0.005
0.000 0.010 5.851
Ir P Se
2 1 1
direct
0.000 0.500 0.244
0.000 0.500 0.756
0.500 0.500 0.000
0.500 0.000 0.500

***

PmSmY5 (PBE, optimized geometry); volume = 42.4 Å³ per atom; DFT formation energy = 1.081 eV/atom; electronic total energy = -4.889 eV per atom; polymorph energy (0 for the lowest one) = 979 meV/atom; total moment = 0.00 μB/atom
1.0
-2.581 4.992 1.438
-6.116 -1.187 4.843
1.454 1.961 7.504
Y Pm Sm
5 1 1
direct
0.500 0.821 0.179
0.253 0.747 0.747
0.000 0.500 0.500
0.500 0.179 0.821
0.747 0.253 0.253
0.000 0.000 0.000
0.500 0.500 0.500

***

In2AgH2 (PBE, optimized geometry); volume = 15.5 Å³ per atom; electronic total energy = -2.555 eV per atom; polymorph energy (0 for the lowest one) = 356 meV/atom; total moment = 0.00 μB/atom
1.0
-7.004 -1.022 -1.456
0.177 -6.286 3.560
-0.729 1.406 2.519
H In Ag
4 4 2
direct
0.889 0.611 0.000
0.111 0.389 0.000
0.389 0.889 0.000
0.611 0.111 0.000
0.653 0.847 0.500
0.847 0.347 0.500
0.347 0.153 0.500
0.153 0.653 0.500
0.500 0.500 0.000
0.000 0.000 0.000

***

B3RhS (PBE, optimized geometry); volume = 13.8 Å³ per atom; electronic total energy = -5.024 eV per atom; ΔE_f (raw) = 1278 meV/atom; polymorph energy (0 for the lowest one) = 0 meV/atom; total moment = 0.00 μB/atom
1.0
4.100 0.000 0.000
0.000 4.100 0.000
0.000 0.000 4.100
B S Rh
3 1 1
direct
0.000 0.000 0.500
0.000 0.500 0.000
0.500 0.000 0.000
0.500 0.500 0.500
0.000 0.000 0.000

***

SrLiAlSb2 (PBE, optimized geometry); volume = 28.6 Å³ per atom; electronic total energy = -3.729 eV per atom; ΔE_f (raw) = -613 meV/atom; total moment = 0.00 μB/atom
1.0
-1.173 3.550 2.659
-2.409 -0.918 -3.795
-4.754 -4.679 4.150
Li Sb Sr Al
1 2 1 1
direct
0.667 0.333 0.366
0.667 0.333 0.737
0.000 0.000 0.267
0.333 0.667 0.027
0.000 0.000 0.603

***

Pr3HoAg3 (PBE, optimized geometry); volume = 28.8 Å³ per atom; DFT formation energy = -0.114 eV/atom; electronic total energy = -4.038 eV per atom; total moment = 0.00 μB/atom
1.0
-7.209 1.370 -1.499
-1.533 -4.330 5.916
0.309 5.815 4.233
Ag Ho Pr
6 2 6
direct
0.510 0.009 0.270
0.991 0.490 0.730
0.067 0.067 0.823
0.933 0.933 0.177
0.490 0.991 0.730
0.009 0.510 0.270
0.248 0.248 0.132
0.752 0.752 0.868
0.177 0.823 0.500
0.644 0.644 0.379
0.356 0.356 0.621
0.276 0.724 0.000
0.823 0.177 0.500
0.724 0.276 0.000